Record 1
The following is a PBE calculation of TlHg2P after structural relaxation, from the Alexandria database. Values from VASP.

Structure (Quantum ESPRESSO input):
```
&SYSTEM
  ibrav = 0, nat = 4, ntyp = 3
/
ATOMIC_SPECIES
Hg 200.59 Hg.upf
P 30.97 P.upf
Tl 204.38 Tl.upf
CELL_PARAMETERS angstrom
-4.450 -0.757 -1.700
-0.316 -4.034 2.625
-1.586 2.191 3.176
ATOMIC_POSITIONS crystal
Hg 0.000 0.000 0.000
Hg 0.500 0.500 0.000
P 0.500 0.000 0.500
Tl 0.000 0.500 0.500
```

Calculated values
* raw total energy: -1.70 eV/atom
* space-group type: P4/mmm



Record 2
The following is a PBE calculation of ZrZn2Au2 after structural relaxation, from the Alexandria database. Values from VASP.

Structure (Quantum ESPRESSO input):
```
&SYSTEM
  ibrav = 0, nat = 5, ntyp = 3
/
ATOMIC_SPECIES
Zr 91.22 Zr.upf
Zn 65.41 Zn.upf
Au 196.97 Au.upf
CELL_PARAMETERS angstrom
0.186 -4.963 0.511
1.950 -0.263 4.589
-4.728 3.460 -1.945
ATOMIC_POSITIONS crystal
Zr 0.000 0.000 0.500
Zn 0.500 0.500 0.697
Zn 0.500 0.500 0.303
Au 0.789 0.211 0.000
Au 0.211 0.789 0.000
```

Calculated values
* raw total energy: -3.82 eV/atom
* space-group type: Immm



Record 3
The following is a PBE calculation of LaMnSbTe2 after structural relaxation, from the Alexandria database. Values from VASP.

Structure (Quantum ESPRESSO input):
```
&SYSTEM
  ibrav = 0, nat = 5, ntyp = 4
/
ATOMIC_SPECIES
Sb 121.76 Sb.upf
Te 127.60 Te.upf
Mn 54.94 Mn.upf
La 138.91 La.upf
CELL_PARAMETERS angstrom
5.329 0.000 0.000
0.000 5.329 0.000
0.000 0.000 5.112
ATOMIC_POSITIONS crystal
Sb 0.000 0.000 0.500
Te 0.000 0.500 0.000
Te 0.500 0.000 0.000
Mn 0.000 0.000 0.000
La 0.500 0.500 0.500
```

Calculated values
* energy relative to the elements, uncorrected: -0.43 eV per atom
* space-group type: P4/mmm



> Number 3 is which compound?

LaMnSbTe2